Entry P
The following is a GGA-PBE calculation of crystalline CaTe2IrN at its relaxed geometry, from the Alexandria database.

Values from the calculation:
mass density = 6.64 g/cm³
space group = P4/mmm (123)

Lattice parameters (Å, degrees): 5.699 5.699 3.864 90.00 90.00 90.00
Positions (direct):
1 N 0.000 0.000 0.500
2 Te 0.500 0.000 0.000
3 Te 0.000 0.500 0.000
4 Ir 0.500 0.500 0.500
5 Ca 0.000 0.000 0.000

---

Entry Q
The following is a GGA-PBE calculation of crystalline CaTe2IrN at its relaxed geometry, from the Alexandria database.

Values from the calculation:
mass density = 7.01 g/cm³
space group = P4/mmm (123)

Lattice parameters (Å, degrees): 5.659 5.659 3.712 90.00 90.00 90.00
Positions (direct):
1 Ca 0.500 0.500 0.500
2 Te 0.500 0.000 0.000
3 Ir 0.000 0.000 0.000
4 N 0.000 0.000 0.500
5 Te 0.000 0.500 0.000

---

Entry R
The following is a GGA-PBE calculation of crystalline CaTe2IrN at its relaxed geometry, from the Alexandria database.

Values from the calculation:
mass density = 8.49 g/cm³
space group = P4/mmm (123)

Lattice parameters (Å, degrees): 4.674 4.488 4.674 90.00 90.00 90.00
Positions (direct):
1 Te 0.000 0.000 0.500
2 N 0.000 0.000 0.000
3 Ca 0.000 0.500 0.000
4 Te 0.500 0.000 0.000
5 Ir 0.500 0.500 0.500

---

Which is the most stable structure? entry Q is the most stable.